# 1
VASP calculation (PBE-GGA) on an optimized crystal structure of TcSbAu.

a b c (Å): 4.4447 4.4447 3.3385
angles (deg): 90.00 90.00 120.00
Space group P3m1 (No. 156)
Unique sites:
Tc (0.0000, 0.0000, 0.0000) [1 per cell]
Sb (0.6667, 0.3333, 0.8778) [1 per cell]
Au (0.3333, 0.6667, 0.4729) [1 per cell]

Values from the calculation:
- E_tot: -5.52 eV/atom
- Spin magnetization: 0.00 μB per cell
- Energy above the lowest structure with this stoichiometry: 0.196 eV per atom
- E_form (uncorrected): 0.406 eV per atom
- V: 19.04 Å³ per atom

---

# 2
VASP calculation (PBE-GGA) on an optimized crystal structure of Pm3Zn2Si2.

a b c (Å): 4.135 4.286 18.327
angles (deg): 90.00 90.00 90.00
Space group Immm (No. 71)
Unique sites:
Pm (0.000, 0.000, 0.000) [2 per cell]
Pm (0.000, 0.500, 0.314) [4 per cell]
Zn (0.000, 0.000, 0.434) [4 per cell]
Si (0.000, 0.500, 0.142) [4 per cell]

Values from the calculation:
- E_tot: -4.54 eV/atom
- Spin magnetization: 0.76 μB per cell
- E_form (uncorrected): -0.591 eV per atom
- V: 23.20 Å³ per atom

---

# 3
VASP calculation (PBE-GGA) on an optimized crystal structure of LiMgInO3.

a b c (Å): 6.469 3.074 6.575
angles (deg): 90.00 102.26 90.00
Space group P2_1/m (No. 11)
Unique sites:
Li (0.099, 0.250, 0.091) [2 per cell]
Mg (0.346, 0.750, 0.333) [2 per cell]
In (0.193, 0.250, 0.719) [2 per cell]
O (0.116, 0.250, 0.371) [2 per cell]
O (0.203, 0.750, 0.987) [2 per cell]
O (0.429, 0.750, 0.659) [2 per cell]

Values from the calculation:
- E_tot: -5.34 eV/atom
- Spin magnetization: 0.00 μB per cell
- E_form (uncorrected): -1.819 eV per atom
- V: 10.65 Å³ per atom

---

# 4
VASP calculation (PBE-GGA) on an optimized crystal structure of CaH3Pd5.

a b c (Å): 10.012 6.073 8.819
angles (deg): 90.00 124.47 90.00
Space group C2/m (No. 12)
Unique sites:
Ca (0.222, 0.000, 0.319) [4 per cell]
H (0.000, 0.000, 0.000) [2 per cell]
H (0.000, 0.500, 0.500) [2 per cell]
H (0.025, 0.500, 0.207) [4 per cell]
H (0.108, 0.000, 0.736) [4 per cell]
Pd (0.000, 0.281, 0.000) [4 per cell]
Pd (0.011, 0.271, 0.670) [8 per cell]
Pd (0.237, 0.000, 0.992) [4 per cell]
Pd (0.248, 0.000, 0.662) [4 per cell]

Values from the calculation:
- E_tot: -4.54 eV/atom
- Spin magnetization: 0.00 μB per cell
- V: 12.28 Å³ per atom

---

# 5
VASP calculation (PBE-GGA) on an optimized crystal structure of PrDy6Er2Mg.

a b c (Å): 9.274 15.607 8.686
angles (deg): 90.00 90.67 90.00
Space group C2/c (No. 15)
Unique sites:
Pr (0.000, 0.040, 0.250) [4 per cell]
Dy (0.047, 0.160, 0.945) [8 per cell]
Dy (0.095, 0.362, 0.081) [8 per cell]
Dy (0.245, 0.287, 0.695) [8 per cell]
Er (0.230, 0.449, 0.439) [8 per cell]
Mg (0.000, 0.444, 0.750) [4 per cell]

Values from the calculation:
- E_tot: -4.19 eV/atom
- Spin magnetization: 0.00 μB per cell
- V: 31.43 Å³ per atom
- E_form: 1.2 eV per formula unit

---

# 6
VASP calculation (PBE-GGA) on an optimized crystal structure of PrHoRe.

a b c (Å): 4.867 4.867 7.352
angles (deg): 90.00 90.00 90.00
Space group P4/nmm (No. 129, origin choice 2)
Unique sites:
Pr (0.250, 0.250, 0.246) [2 per cell]
Ho (0.250, 0.250, 0.709) [2 per cell]
Re (0.250, 0.750, 0.500) [2 per cell]

Values from the calculation:
- E_tot: -7.01 eV/atom
- Spin magnetization: 0.00 μB per cell
- V: 29.02 Å³ per atom
- E_form: 0.8 eV per formula unit

---

# 7
VASP calculation (PBE-GGA) on an optimized crystal structure of CrFe3.

a b c (Å): 2.4807 2.4807 24.4678
angles (deg): 90.00 90.00 120.00
Space group R-3m (No. 166, hexagonal axes)
Unique sites:
Cr (0.0000, 0.0000, 0.0000) [3 per cell]
Fe (0.0000, 0.0000, 0.2498) [6 per cell]
Fe (0.0000, 0.0000, 0.5000) [3 per cell]

Values from the calculation:
- E_tot: -8.59 eV/atom
- Spin magnetization: 8.79 μB per cell
- V: 10.87 Å³ per atom
- E_form: 0.6 eV per formula unit

---

# 8
VASP calculation (PBE-GGA) on an optimized crystal structure of TaSn2P2.

a b c (Å): 3.767 3.767 15.430
angles (deg): 90.00 90.00 90.00
Space group I4/mmm (No. 139)
Unique sites:
Ta (0.000, 0.000, 0.000) [2 per cell]
Sn (0.000, 0.500, 0.250) [4 per cell]
P (0.000, 0.000, 0.426) [4 per cell]

Values from the calculation:
- E_tot: -5.49 eV/atom
- Spin magnetization: 0.00 μB per cell
- Energy above the lowest structure with this stoichiometry: 0.531 eV per atom
- V: 21.89 Å³ per atom
- E_form: 3.2 eV per formula unit